Here is an optimized crystal structure of BaSiPIr2 from Alexandria via LeMat-Bulk. Energies are from PBE-GGA.

## Properties
E_tot in eV per formula unit: -29.494
Fermi-level density of states in states/eV/cell: 4.8
Raw formation energy in eV/atom: 0.197

Cell: 4.5501 4.5501 5.1162 Å, 90.00 90.00 90.00°
With the nearest neighbours (Å) after each atom.
Space group P4/mmm (No. 123)
Unique sites:
1 Ba 0.0000 0.0000 0.0000 (multiplicity 1)  4 Si 3.22, 8 Ir 3.42
2 Si 0.5000 0.5000 0.0000 (multiplicity 1)  2 P 2.56
3 P 0.5000 0.5000 0.5000 (multiplicity 1)  4 Ir 2.28
4 Ir 0.0000 0.5000 0.5000 (multiplicity 2)  2 P 2.28


Here is an optimized crystal structure of MnTeS2 from Alexandria via LeMat-Bulk. Energies are from PBE-GGA.

## Properties
E_tot in eV per formula unit: -20.610
Fermi-level density of states in states/eV/cell: 2.0
Raw formation energy in eV/atom: -0.011

Cell: 3.5502 3.5502 8.0167 Å, 90.00 90.00 120.00°
With the nearest neighbours (Å) after each atom.
Space group P3m1 (No. 156)
Unique sites:
1 Mn 0.0000 0.0000 0.0000 (multiplicity 1)  4 S 2.05-2.16
2 Te 0.6667 0.3333 0.4899 (multiplicity 1)  3 S 2.78
3 S 0.0000 0.0000 0.2555 (multiplicity 1)  1 Mn 2.05
4 S 0.3333 0.6667 0.9158 (multiplicity 1)  3 Mn 2.16


Here is an optimized crystal structure of TcSbRu2 from Alexandria via LeMat-Bulk. Energies are from PBE-GGA.

## Properties
E_tot in eV per formula unit: -31.968
Fermi-level density of states in states/eV/cell: 8.1
Raw formation energy in eV/atom: 0.268

Cell: 3.0793 4.5040 9.0936 Å, 90.00 90.00 90.00°
With the nearest neighbours (Å) after each atom.
Space group Imm2 (No. 44)
Unique sites:
1 Tc 0.0000 0.0000 0.0000 (multiplicity 2)  2 Sb 2.63, 6 Ru 2.75-2.83
2 Sb 0.0000 0.5000 0.2656 (multiplicity 2)  6 Ru 2.57-2.73, 2 Tc 2.63
3 Ru 0.0000 0.0000 0.5391 (multiplicity 2)  2 Sb 2.57, 4 Tc 2.75
4 Ru 0.0000 0.5000 0.7606 (multiplicity 2)  4 Sb 2.73, 2 Tc 2.83, 4 Ru 2.96-3.02


> E_tot of number 2 (MnTeS2)?

-20.610 eV per formula unit


> Among the records above, which one has the highest E_tot?

MnTeS2